{"formula": "CsPu2I8", "functional": "PBE", "state": "optimized geometry", "sg": "P4/mmm (123)", "magnetic_moment_mub_per_fu": 9.3, "raw_formation_energy_ev_per_atom": -0.973, "lattice": [[7.5922, 0.0000, 0.0000], [0.0000, 7.5922, 0.0000], [0.0000, 0.0000, 9.4746]], "species": ["Cs", "Pu", "Pu", "I", "I", "I", "I", "I", "I", "I", "I"], "fractional_positions": [[0.0000, 0.0000, 0.0000], [0.0000, 0.5000, 0.5000], [0.5000, 0.0000, 0.5000], [0.2517, 0.2517, 0.3037], [0.2517, 0.2517, 0.6963], [0.2517, 0.7483, 0.3037], [0.2517, 0.7483, 0.6963], [0.7483, 0.2517, 0.3037], [0.7483, 0.2517, 0.6963], [0.7483, 0.7483, 0.3037], [0.7483, 0.7483, 0.6963]]}



{"formula": "Pr2Ge4RuPt3", "functional": "PBE", "state": "optimized geometry", "sg": "P-4m2 (115)", "magnetic_moment_mub_per_fu": 0.0, "e_form_ev_per_atom": -0.886, "lattice": [[4.3020, 0.0000, 0.0000], [0.0000, 4.3020, 0.0000], [0.0000, 0.0000, 10.3796]], "species": ["Pr", "Pr", "Ge", "Ge", "Ge", "Ge", "Ru", "Pt", "Pt", "Pt"], "fractional_positions": [[0.0000, 0.5000, 0.2461], [0.5000, 0.0000, 0.7539], [0.0000, 0.0000, 0.0000], [0.0000, 0.5000, 0.6282], [0.5000, 0.0000, 0.3718], [0.5000, 0.5000, 0.0000], [0.0000, 0.0000, 0.5000], [0.0000, 0.5000, 0.8687], [0.5000, 0.0000, 0.1313], [0.5000, 0.5000, 0.5000]]}



{"formula": "SmAgPd", "functional": "PBE", "state": "optimized geometry", "sg": "Cmcm (63)", "magnetic_moment_mub_per_fu": 0.0, "de_polymorph_mev_per_atom": 0, "e_form_ev_per_atom": -0.564, "lattice": [[2.6181, -4.3106, 0.0000], [2.6181, 4.3106, 0.0000], [0.0000, 0.0000, 5.7744]], "species": ["Sm", "Sm", "Ag", "Ag", "Pd", "Pd"], "fractional_positions": [[0.1587, 0.8413, 0.7500], [0.8413, 0.1587, 0.2500], [0.5000, 0.5000, 0.0000], [0.5000, 0.5000, 0.5000], [0.1872, 0.8128, 0.2500], [0.8128, 0.1872, 0.7500]]}